# BaMnCr2

Crystalline BaMnCr2 at its relaxed geometry (PBE-GGA, the Alexandria database).

Cell lengths 5.526, 5.526, 5.526 Å; angles 137.28, 115.18, 80.79 degrees
Fractional coordinates of all 4 atoms:
1 Ba 0.000 0.000 0.000
2 Mn 0.500 0.500 0.000
3 Cr 0.320 0.820 0.500
4 Cr 0.680 0.180 0.500

Values from the calculation:
- total DFT energy (no corrections) (eV/atom) = -6.63
- density of states at the Fermi level (states/eV/cell) = 2.95
- total moment (μB per formula unit) = 4.49
- E_form (eV per atom) = 0.9570
- crystal system = orthorhombic

# LiTe

Crystalline LiTe at its relaxed geometry (PBE-GGA, the Alexandria database).

Cell lengths 8.772, 8.772, 8.772 Å; angles 92.70, 92.70, 154.93 degrees
Fractional coordinates of all 8 atoms:
1 Li 0.080 0.256 0.337
2 Li 0.256 0.920 0.176
3 Li 0.744 0.080 0.824
4 Li 0.920 0.744 0.663
5 Te 0.146 0.712 0.859
6 Te 0.288 0.146 0.434
7 Te 0.712 0.854 0.566
8 Te 0.854 0.288 0.141

Values from the calculation:
- total DFT energy (no corrections) (eV/atom) = -2.95
- density of states at the Fermi level (states/eV/cell) = 2.78
- formation energy without anion corrections (eV/atom) = -0.42
- total moment (μB per formula unit) = 0.00
- crystal system = tetragonal

Question: Which of these has the lowest density of states at the Fermi level?
Answer: LiTe

What did the first record say?
# BaMnCr2

Crystalline BaMnCr2 at its relaxed geometry (PBE-GGA, the Alexandria database).

Cell lengths 5.526, 5.526, 5.526 Å; angles 137.28, 115.18, 80.79 degrees
Fractional coordinates of all 4 atoms:
1 Ba 0.000 0.000 0.000
2 Mn 0.500 0.500 0.000
3 Cr 0.320 0.820 0.500
4 Cr 0.680 0.180 0.500

Values from the calculation:
- total DFT energy (no corrections) (eV/atom) = -6.63
- density of states at the Fermi level (states/eV/cell) = 2.95
- total moment (μB per formula unit) = 4.49
- E_form (eV per atom) = 0.9570
- crystal system = orthorhombic

Question: Which of these has the lowest total moment?
Answer: LiTe